[1]
# SbTe3O8 | Alexandria | meta-GGA SCAN | single point on PBEsol structure
# * DOS(E_F): 0.367 states/eV per atom
# * calculated density: 5.89 g/cm3
# * magnetization: 0.01 μB per cell
# * formation energy (no corrections): -1.119 eV per atom
# * E: -1698.3 eV for the cell shown
data_SbTe3O8
_chemical_formula_sum 'Sb8 Te24 O64'
_symmetry_space_group_name_H-M 'I a -3'
_symmetry_Int_Tables_number 206
_symmetry_space_group_name_Hall '-I 2b 2c 3'
_cell_length_a 11.2583
_cell_length_b 11.2583
_cell_length_c 11.2583
_cell_angle_alpha 90.00
_cell_angle_beta 90.00
_cell_angle_gamma 90.00
loop_
_atom_site_label
_atom_site_type_symbol
_atom_site_fract_x
_atom_site_fract_y
_atom_site_fract_z
Sb1 Sb 0.2500 0.2500 0.2500
Te1 Te 0.0000 0.2500 0.0412
O1 O 0.0854 0.0854 0.0854
O2 O 0.1121 0.1776 0.6472



[2]
# DyHSe | Alexandria | meta-GGA SCAN | single point on PBEsol structure
# * DOS(E_F): 0.000 states/eV per atom
# * calculated density: 8.48 g/cm3
# * magnetization: 0.00 μB per cell
# * E: -76.2 eV for the cell shown
data_DyHSe
_chemical_formula_sum 'Dy1 H1 Se1'
_symmetry_space_group_name_H-M 'P -6 m 2'
_symmetry_Int_Tables_number 187
_symmetry_space_group_name_Hall 'P -6 2'
_cell_length_a 3.7808
_cell_length_b 3.7808
_cell_length_c 3.8372
_cell_angle_alpha 90.00
_cell_angle_beta 90.00
_cell_angle_gamma 120.00
loop_
_atom_site_label
_atom_site_type_symbol
_atom_site_fract_x
_atom_site_fract_y
_atom_site_fract_z
Dy1 Dy 0.0000 0.0000 0.0000
H1 H 0.3333 0.6667 0.0000
Se1 Se 0.6667 0.3333 0.5000



[3]
# Ta2ZnSiP | Alexandria | meta-GGA SCAN | single point on PBEsol structure
# * DOS(E_F): 0.838 states/eV per atom
# * calculated density: 8.82 g/cm3
# * magnetization: 0.00 μB per cell
# * formation energy (no corrections): 1.059 eV per atom
# * E: -161.8 eV for the cell shown
data_Ta2ZnSiP
_chemical_formula_sum 'Ta2 Zn1 Si1 P1'
_symmetry_space_group_name_H-M 'P 4/m m m'
_symmetry_Int_Tables_number 123
_symmetry_space_group_name_Hall '-P 4 2'
_cell_length_a 4.7104
_cell_length_b 4.7104
_cell_length_c 4.1267
_cell_angle_alpha 90.00
_cell_angle_beta 90.00
_cell_angle_gamma 90.00
loop_
_atom_site_label
_atom_site_type_symbol
_atom_site_fract_x
_atom_site_fract_y
_atom_site_fract_z
Ta1 Ta 0.0000 0.5000 0.0000
Zn1 Zn 0.0000 0.0000 0.5000
Si1 Si 0.0000 0.0000 0.0000
P1 P 0.5000 0.5000 0.5000



Which value of DOS(E_F) does entry 2 give?
0.000 states/eV per atom